Entry from Alexandria: Tl2Cd3Sn after structural relaxation (PBE-GGA).

Results
Magnetic moment   0.0000 μB per atom
Formation energy   37 meV per atom
N(E_F)   5.10 states/eV/cell

Cell and atoms, written as CIF:
```
data_Tl2Cd3Sn
_space_group_name_H-M_alt 'C 1 2/m 1'
_space_group_IT_number 12
_space_group_name_Hall '-C 2y'
_cell_length_a 10.301
_cell_length_b 6.121
_cell_length_c 6.235
_cell_angle_alpha 90.00
_cell_angle_beta 122.72
_cell_angle_gamma 90.00
loop_
_atom_site_label
_atom_site_type_symbol
_atom_site_fract_x
_atom_site_fract_y
_atom_site_fract_z
_atom_site_occupancy
Tl1 Tl 0.120 0.000 0.366 1
Cd1 Cd 0.000 0.500 0.000 1
Cd2 Cd 0.250 0.250 0.000 1
Sn1 Sn 0.000 0.500 0.500 1
```



Entry from Alexandria: BeAgRh2 after structural relaxation (PBE-GGA).

Results
Magnetic moment   0.2167 μB per atom
Formation energy   148 meV per atom
N(E_F)   8.72 states/eV/cell

Cell and atoms, written as CIF:
```
data_BeAgRh2
_space_group_name_H-M_alt 'I -4 m 2'
_space_group_IT_number 119
_space_group_name_Hall 'I -4 -2'
_cell_length_a 3.852
_cell_length_b 3.852
_cell_length_c 7.508
_cell_angle_alpha 90.00
_cell_angle_beta 90.00
_cell_angle_gamma 90.00
loop_
_atom_site_label
_atom_site_type_symbol
_atom_site_fract_x
_atom_site_fract_y
_atom_site_fract_z
_atom_site_occupancy
Be1 Be 0.000 0.000 0.000 1
Ag1 Ag 0.000 0.500 0.250 1
Rh1 Rh 0.000 0.000 0.500 1
Rh2 Rh 0.000 0.500 0.750 1
```



Entry from Alexandria: Gd2InSb after structural relaxation (PBE-GGA).

Results
Magnetic moment   3.7188 μB per atom
E_form (uncorrected)   -261.5 kJ/mol of formula units
Offset from the most stable computed form   0.041 eV per atom
N(E_F)   3.26 states/eV/cell

Cell and atoms, written as CIF:
```
data_Gd2InSb
_space_group_name_H-M_alt 'P 4/m m m'
_space_group_IT_number 123
_space_group_name_Hall '-P 4 2'
_cell_length_a 4.968
_cell_length_b 4.968
_cell_length_c 4.398
_cell_angle_alpha 90.00
_cell_angle_beta 90.00
_cell_angle_gamma 90.00
loop_
_atom_site_label
_atom_site_type_symbol
_atom_site_fract_x
_atom_site_fract_y
_atom_site_fract_z
_atom_site_occupancy
Gd1 Gd 0.000 0.500 0.000 1
In1 In 0.000 0.000 0.500 1
Sb1 Sb 0.500 0.500 0.500 1
```



Entry from Alexandria: CsMnI3 after structural relaxation (PBE-GGA).

Results
Magnetic moment   1.0000 μB per atom
E_form (uncorrected)   -433.7 kJ/mol of formula units
Offset from the most stable computed form   0.010 eV per atom

Cell and atoms, written as CIF:
```
data_CsMnI3
_space_group_name_H-M_alt 'P 1 21/c 1'
_space_group_IT_number 14
_space_group_name_Hall '-P 2ybc'
_cell_length_a 8.181
_cell_length_b 7.850
_cell_length_c 16.863
_cell_angle_alpha 90.00
_cell_angle_beta 119.02
_cell_angle_gamma 90.00
loop_
_atom_site_label
_atom_site_type_symbol
_atom_site_fract_x
_atom_site_fract_y
_atom_site_fract_z
_atom_site_occupancy
Cs1 Cs 0.223 0.239 0.213 1
Mn1 Mn 0.449 0.749 0.453 1
I1 I 0.239 0.049 0.972 1
I2 I 0.253 0.742 0.270 1
I3 I 0.321 0.550 0.044 1
```



Entry from Alexandria: BaHg2Sb2 after structural relaxation (PBE-GGA).

Results
Magnetic moment   0.0000 μB per atom
E_form (uncorrected)   -140.4 kJ/mol of formula units
N(E_F)   3.22 states/eV/cell

Cell and atoms, written as CIF:
```
data_BaHg2Sb2
_space_group_name_H-M_alt 'P 4/m b m'
_space_group_IT_number 127
_space_group_name_Hall '-P 4 2ab'
_cell_length_a 8.820
_cell_length_b 8.820
_cell_length_c 3.848
_cell_angle_alpha 90.00
_cell_angle_beta 90.00
_cell_angle_gamma 90.00
loop_
_atom_site_label
_atom_site_type_symbol
_atom_site_fract_x
_atom_site_fract_y
_atom_site_fract_z
_atom_site_occupancy
Ba1 Ba 0.000 0.000 0.000 1
Hg1 Hg 0.118 0.382 0.000 1
Sb1 Sb 0.186 0.686 0.500 1
```



Entry from Alexandria: Ba2TeRu after structural relaxation (PBE-GGA).

Results
Magnetic moment   0.4753 μB per atom
E_form (uncorrected)   -66.6 kJ/mol of formula units
N(E_F)   5.69 states/eV/cell

Cell and atoms, written as CIF:
```
data_Ba2TeRu
_space_group_name_H-M_alt 'P 4/m m m'
_space_group_IT_number 123
_space_group_name_Hall '-P 4 2'
_cell_length_a 5.707
_cell_length_b 5.707
_cell_length_c 4.198
_cell_angle_alpha 90.00
_cell_angle_beta 90.00
_cell_angle_gamma 90.00
loop_
_atom_site_label
_atom_site_type_symbol
_atom_site_fract_x
_atom_site_fract_y
_atom_site_fract_z
_atom_site_occupancy
Ba1 Ba 0.000 0.500 0.000 1
Te1 Te 0.000 0.000 0.500 1
Ru1 Ru 0.500 0.500 0.500 1
```



Entry from Alexandria: Tb2CuSi2Pd5 after structural relaxation (PBE-GGA).

Results
Magnetic moment   0.0000 μB per atom
E_form (uncorrected)   -618.3 kJ/mol of formula units
N(E_F)   16.31 states/eV/cell

Cell and atoms, written as CIF:
```
data_Tb2CuSi2Pd5
_space_group_name_H-M_alt 'P 4/m b m'
_space_group_IT_number 127
_space_group_name_Hall '-P 4 2ab'
_cell_length_a 10.064
_cell_length_b 10.064
_cell_length_c 3.409
_cell_angle_alpha 90.00
_cell_angle_beta 90.00
_cell_angle_gamma 90.00
loop_
_atom_site_label
_atom_site_type_symbol
_atom_site_fract_x
_atom_site_fract_y
_atom_site_fract_z
_atom_site_occupancy
Tb1 Tb 0.176 0.324 0.000 1
Cu1 Cu 0.000 0.000 0.000 1
Si1 Si 0.126 0.626 0.000 1
Pd1 Pd 0.000 0.500 0.500 1
Pd2 Pd 0.055 0.797 0.500 1
```



Entry from Alexandria: Ta2Rh3 after structural relaxation (PBE-GGA).

Results
Magnetic moment   0.0000 μB per atom
Offset from the most stable computed form   0.272 eV per atom
Formation energy   -215 meV per atom
N(E_F)   21.30 states/eV/cell

Cell and atoms, written as CIF:
```
data_Ta2Rh3
_space_group_name_H-M_alt 'R -3 m'
_space_group_IT_number 166
_space_group_name_Hall '-R 3 2"'
_cell_length_a 2.8645
_cell_length_b 2.8645
_cell_length_c 33.6081
_cell_angle_alpha 90.00
_cell_angle_beta 90.00
_cell_angle_gamma 120.00
loop_
_atom_site_label
_atom_site_type_symbol
_atom_site_fract_x
_atom_site_fract_y
_atom_site_fract_z
_atom_site_occupancy
Ta1 Ta 0.0000 0.0000 0.0989 1
Rh1 Rh 0.0000 0.0000 0.2980 1
Rh2 Rh 0.0000 0.0000 0.5000 1
```



Entry from Alexandria: PmYZnSn after structural relaxation (PBE-GGA).

Results
Magnetic moment   0.0000 μB per atom
Formation energy   -525 meV per atom
N(E_F)   8.29 states/eV/cell

Cell and atoms, written as CIF:
```
data_PmYZnSn
_space_group_name_H-M_alt 'F -4 3 m'
_space_group_IT_number 216
_space_group_name_Hall 'F -4 2 3'
_cell_length_a 7.430
_cell_length_b 7.430
_cell_length_c 7.430
_cell_angle_alpha 90.00
_cell_angle_beta 90.00
_cell_angle_gamma 90.00
loop_
_atom_site_label
_atom_site_type_symbol
_atom_site_fract_x
_atom_site_fract_y
_atom_site_fract_z
_atom_site_occupancy
Pm1 Pm 0.000 0.000 0.000 1
Y1 Y 0.000 0.000 0.500 1
Zn1 Zn 0.250 0.250 0.250 1
Sn1 Sn 0.250 0.250 0.750 1
```



Entry from Alexandria: Sr2NbGaO6 after structural relaxation (PBE-GGA).

Results
Magnetic moment   0.0000 μB per atom
E_form (uncorrected)   -2553.1 kJ/mol of formula units
N(E_F)   0.00 states/eV/cell

Cell and atoms, written as CIF:
```
data_Sr2NbGaO6
_space_group_name_H-M_alt 'I 4/m'
_space_group_IT_number 87
_space_group_name_Hall '-I 4'
_cell_length_a 5.629
_cell_length_b 5.629
_cell_length_c 8.045
_cell_angle_alpha 90.00
_cell_angle_beta 90.00
_cell_angle_gamma 90.00
loop_
_atom_site_label
_atom_site_type_symbol
_atom_site_fract_x
_atom_site_fract_y
_atom_site_fract_z
_atom_site_occupancy
Sr1 Sr 0.000 0.500 0.250 1
Nb1 Nb 0.000 0.000 0.000 1
Ga1 Ga 0.000 0.000 0.500 1
O1 O 0.000 0.000 0.250 1
O2 O 0.215 0.285 0.000 1
```



Entry from Alexandria: RbH2Cl after structural relaxation (PBE-GGA).

Results
Magnetic moment   0.0144 μB per atom
Offset from the most stable computed form   0.000 eV per atom
N(E_F)   0.00 states/eV/cell

Cell and atoms, written as CIF:
```
data_RbH2Cl
_space_group_name_H-M_alt 'P 1 21/m 1'
_space_group_IT_number 11
_space_group_name_Hall '-P 2yb'
_cell_length_a 4.619
_cell_length_b 4.642
_cell_length_c 8.888
_cell_angle_alpha 90.00
_cell_angle_beta 90.07
_cell_angle_gamma 90.00
loop_
_atom_site_label
_atom_site_type_symbol
_atom_site_fract_x
_atom_site_fract_y
_atom_site_fract_z
_atom_site_occupancy
Rb1 Rb 0.248 0.250 0.314 1
H1 H 0.254 0.669 0.962 1
Cl1 Cl 0.252 0.250 0.684 1
```



Entry from Alexandria: Li5Mg2Hg12 after structural relaxation (PBE-GGA).

Results
Magnetic moment   0.0000 μB per atom
Formation energy   -197 meV per atom
N(E_F)   12.22 states/eV/cell

Cell and atoms, written as CIF:
```
data_Li5Mg2Hg12
_space_group_name_H-M_alt 'C 1 2/m 1'
_space_group_IT_number 12
_space_group_name_Hall '-C 2y'
_cell_length_a 14.106
_cell_length_b 7.898
_cell_length_c 7.517
_cell_angle_alpha 90.00
_cell_angle_beta 95.96
_cell_angle_gamma 90.00
loop_
_atom_site_label
_atom_site_type_symbol
_atom_site_fract_x
_atom_site_fract_y
_atom_site_fract_z
_atom_site_occupancy
Li1 Li 0.000 0.000 0.000 1
Li2 Li 0.164 0.500 0.429 1
Li3 Li 0.239 0.000 0.035 1
Mg1 Mg 0.000 0.202 0.500 1
Hg1 Hg 0.043 0.500 0.722 1
Hg2 Hg 0.107 0.298 0.086 1
Hg3 Hg 0.143 0.000 0.353 1
Hg4 Hg 0.191 0.212 0.713 1
```



Entry from Alexandria: RbPaS3 after structural relaxation (PBE-GGA).

Results
Magnetic moment   0.0000 μB per atom
E_form (uncorrected)   -759.9 kJ/mol of formula units

Cell and atoms, written as CIF:
```
data_RbPaS3
_space_group_name_H-M_alt 'P m -3 m'
_space_group_IT_number 221
_space_group_name_Hall '-P 4 2 3'
_cell_length_a 5.276
_cell_length_b 5.276
_cell_length_c 5.276
_cell_angle_alpha 90.00
_cell_angle_beta 90.00
_cell_angle_gamma 90.00
loop_
_atom_site_label
_atom_site_type_symbol
_atom_site_fract_x
_atom_site_fract_y
_atom_site_fract_z
_atom_site_occupancy
Rb1 Rb 0.000 0.000 0.000 1
Pa1 Pa 0.500 0.500 0.500 1
S1 S 0.000 0.500 0.500 1
```



Entry from Alexandria: CaTiCdGe2 after structural relaxation (PBE-GGA).

Results
Magnetic moment   0.0000 μB per atom
Formation energy   1181 meV per atom
N(E_F)   3.96 states/eV/cell

Cell and atoms, written as CIF:
```
data_CaTiCdGe2
_space_group_name_H-M_alt 'P 4/m m m'
_space_group_IT_number 123
_space_group_name_Hall '-P 4 2'
_cell_length_a 5.300
_cell_length_b 5.300
_cell_length_c 4.775
_cell_angle_alpha 90.00
_cell_angle_beta 90.00
_cell_angle_gamma 90.00
loop_
_atom_site_label
_atom_site_type_symbol
_atom_site_fract_x
_atom_site_fract_y
_atom_site_fract_z
_atom_site_occupancy
Ca1 Ca 0.000 0.000 0.000 1
Ti1 Ti 0.000 0.000 0.500 1
Cd1 Cd 0.500 0.500 0.500 1
Ge1 Ge 0.000 0.500 0.000 1
```



Entry from Alexandria: Ac4Ti3PbO12 after structural relaxation (PBE-GGA).

Results
Magnetic moment   0.0992 μB per atom
E_form (uncorrected)   -5375.9 kJ/mol of formula units
N(E_F)   16.45 states/eV/cell

Cell and atoms, written as CIF:
```
data_Ac4Ti3PbO12
_space_group_name_H-M_alt 'I m -3 m'
_space_group_IT_number 229
_space_group_name_Hall '-I 4 2 3'
_cell_length_a 8.322
_cell_length_b 8.322
_cell_length_c 8.322
_cell_angle_alpha 90.00
_cell_angle_beta 90.00
_cell_angle_gamma 90.00
loop_
_atom_site_label
_atom_site_type_symbol
_atom_site_fract_x
_atom_site_fract_y
_atom_site_fract_z
_atom_site_occupancy
Ac1 Ac 0.250 0.250 0.250 1
Ti1 Ti 0.000 0.000 0.500 1
Pb1 Pb 0.000 0.000 0.000 1
O1 O 0.000 0.000 0.273 1
O2 O 0.000 0.250 0.500 1
```



Entry from Alexandria: Ba3Na6Hg5 after structural relaxation (PBE-GGA).

Results
Magnetic moment   0.0000 μB per atom
Formation energy   -276 meV per atom
N(E_F)   18.10 states/eV/cell

Cell and atoms, written as CIF:
```
data_Ba3Na6Hg5
_space_group_name_H-M_alt 'P m m n'
_space_group_IT_number 59
_cell_length_a 4.860
_cell_length_b 15.616
_cell_length_c 12.606
_cell_angle_alpha 90.00
_cell_angle_beta 90.00
_cell_angle_gamma 90.00
loop_
_space_group_symop_operation_xyz
'x,y,z'
'-x,-y,-z'
'-x+1/2,-y+1/2,z'
'x+1/2,y+1/2,-z'
'x+1/2,-y,-z'
'-x+1/2,y,z'
'-x,y+1/2,-z'
'x,-y+1/2,z'
loop_
_atom_site_label
_atom_site_type_symbol
_atom_site_fract_x
_atom_site_fract_y
_atom_site_fract_z
_atom_site_occupancy
Ba1 Ba 0.250 0.073 0.243 1
Ba2 Ba 0.250 0.750 0.277 1
Na1 Na 0.250 0.065 0.580 1
Na2 Na 0.250 0.250 0.002 1
Na3 Na 0.250 0.250 0.449 1
Na4 Na 0.250 0.588 0.001 1
Hg1 Hg 0.250 0.090 0.832 1
Hg2 Hg 0.250 0.634 0.562 1
Hg3 Hg 0.250 0.750 0.812 1
```



Entry from Alexandria: Ba2CdHAu after structural relaxation (PBE-GGA).

Results
Magnetic moment   0.0000 μB per atom
E   -2.670 eV per atom
N(E_F)   3.65 states/eV/cell

Cell and atoms, written as CIF:
```
data_Ba2CdHAu
_space_group_name_H-M_alt 'P 4/m m m'
_space_group_IT_number 123
_space_group_name_Hall '-P 4 2'
_cell_length_a 5.880
_cell_length_b 5.880
_cell_length_c 4.090
_cell_angle_alpha 90.00
_cell_angle_beta 90.00
_cell_angle_gamma 90.00
loop_
_atom_site_label
_atom_site_type_symbol
_atom_site_fract_x
_atom_site_fract_y
_atom_site_fract_z
_atom_site_occupancy
Ba1 Ba 0.000 0.500 0.000 1
Cd1 Cd 0.000 0.000 0.500 1
H1 H 0.500 0.500 0.000 1
Au1 Au 0.500 0.500 0.500 1
```



Entry from Alexandria: Cd2AgAu2 after structural relaxation (PBE-GGA).

Results
Magnetic moment   0.0000 μB per atom
Offset from the most stable computed form   0.102 eV per atom
Formation energy   -38 meV per atom
N(E_F)   3.13 states/eV/cell

Cell and atoms, written as CIF:
```
data_Cd2AgAu2
_space_group_name_H-M_alt 'P 4/m b m'
_space_group_IT_number 127
_space_group_name_Hall '-P 4 2ab'
_cell_length_a 7.995
_cell_length_b 7.995
_cell_length_c 3.165
_cell_angle_alpha 90.00
_cell_angle_beta 90.00
_cell_angle_gamma 90.00
loop_
_atom_site_label
_atom_site_type_symbol
_atom_site_fract_x
_atom_site_fract_y
_atom_site_fract_z
_atom_site_occupancy
Cd1 Cd 0.139 0.361 0.000 1
Ag1 Ag 0.000 0.000 0.000 1
Au1 Au 0.160 0.660 0.500 1
```



Entry from Alexandria: Dy2Y7Tm3 after structural relaxation (PBE-GGA).

Results
Magnetic moment   0.0001 μB per atom
Offset from the most stable computed form   0.011 eV per atom
Formation energy   93 meV per atom
N(E_F)   15.95 states/eV/cell

Cell and atoms, written as CIF:
```
data_Dy2Y7Tm3
_space_group_name_H-M_alt 'P 1 2/m 1'
_space_group_IT_number 10
_space_group_name_Hall '-P 2y'
_cell_length_a 5.758
_cell_length_b 3.575
_cell_length_c 18.595
_cell_angle_alpha 90.00
_cell_angle_beta 93.81
_cell_angle_gamma 90.00
loop_
_atom_site_label
_atom_site_type_symbol
_atom_site_fract_x
_atom_site_fract_y
_atom_site_fract_z
_atom_site_occupancy
Dy1 Dy 0.206 0.000 0.296 1
Y1 Y 0.178 0.500 0.144 1
Y2 Y 0.242 0.000 0.463 1
Y3 Y 0.318 0.000 0.819 1
Y4 Y 0.500 0.500 0.000 1
Tm1 Tm 0.000 0.000 0.000 1
Tm2 Tm 0.280 0.500 0.632 1
```



Entry from Alexandria: TbSc2Cu9 after structural relaxation (PBE-GGA).

Results
Magnetic moment   0.0000 μB per atom
Formation energy   -214 meV per atom
N(E_F)   31.24 states/eV/cell

Cell and atoms, written as CIF:
```
data_TbSc2Cu9
_space_group_name_H-M_alt 'R -3 m'
_space_group_IT_number 166
_space_group_name_Hall '-R 3 2"'
_cell_length_a 5.0806
_cell_length_b 5.0806
_cell_length_c 24.3100
_cell_angle_alpha 90.00
_cell_angle_beta 90.00
_cell_angle_gamma 120.00
loop_
_atom_site_label
_atom_site_type_symbol
_atom_site_fract_x
_atom_site_fract_y
_atom_site_fract_z
_atom_site_occupancy
Tb1 Tb 0.0000 0.0000 0.0000 1
Sc1 Sc 0.0000 0.0000 0.1445 1
Cu1 Cu 0.0000 0.0000 0.3329 1
Cu2 Cu 0.0000 0.0000 0.5000 1
Cu3 Cu 0.0023 0.5012 0.9155 1
```